MgZn2Mo: optimized geometry, PBE.

Output
- Total magnetic moment: 6.854 Bohr magnetons per cell
- Formation enthalpy at 0 K: 376 meV per atom
- Calculated volume: 15.96 Å³ per atom
- E_tot: -3.37 eV/atom

Geometry as CIF:
```
data_MgZn2Mo
_symmetry_space_group_name_H-M 'F -4 3 m'
_symmetry_Int_Tables_number 216
_symmetry_space_group_name_Hall 'F -4 2 3'
_cell_length_a 6.3447
_cell_length_b 6.3447
_cell_length_c 6.3447
_cell_angle_alpha 90.00
_cell_angle_beta 90.00
_cell_angle_gamma 90.00
loop_
_atom_site_label
_atom_site_type_symbol
_atom_site_fract_x
_atom_site_fract_y
_atom_site_fract_z
Mg1 Mg 0.0000 0.0000 0.0000
Zn1 Zn 0.0000 0.0000 0.5000
Zn2 Zn 0.2500 0.2500 0.7500
Mo1 Mo 0.2500 0.2500 0.2500
```

AgPd3Rh4O12: optimized geometry, PBE.

Output
- Total magnetic moment: 3.822 Bohr magnetons per cell
- ΔE_f (raw): -0.493 eV/atom
- Calculated volume: 11.12 Å³ per atom
- E_tot: -5.86 eV/atom

Geometry as CIF:
```
data_AgPd3Rh4O12
_symmetry_space_group_name_H-M 'I m -3'
_symmetry_Int_Tables_number 204
_symmetry_space_group_name_Hall '-I 2 2 3'
_cell_length_a 7.6342
_cell_length_b 7.6342
_cell_length_c 7.6342
_cell_angle_alpha 90.00
_cell_angle_beta 90.00
_cell_angle_gamma 90.00
loop_
_atom_site_label
_atom_site_type_symbol
_atom_site_fract_x
_atom_site_fract_y
_atom_site_fract_z
Ag1 Ag 0.0000 0.0000 0.0000
Pd1 Pd 0.0000 0.0000 0.5000
Rh1 Rh 0.2500 0.2500 0.2500
O1 O 0.0000 0.3101 0.1791
```